[1]
Entry from Alexandria via LeMat-Bulk: CaSi2Os after structural relaxation (PBE).

Cell: 4.010 4.622 4.798 Å, 90.00 90.00 90.00°
Space group Pmm2 (No. 25)
Asymmetric unit:
1 Ca 0.000 0.000 0.000 [1 per cell]
2 Si 0.000 0.500 0.450 [1 per cell]
3 Si 0.500 0.500 0.738 [1 per cell]
4 Os 0.500 0.500 0.218 [1 per cell]

Summary:
ΔE_f (raw), eV per formula unit: -0.22
Electronic total energy, eV/atom: -6.07
DOS at the Fermi energy, states/eV/cell: 1.2
Total moment, μB/cell: 0.00

---

[2]
Entry from Alexandria via LeMat-Bulk: Pr2Sm2Mg15 after structural relaxation (PBE).

Cell: 10.6110 10.6110 15.2889 Å, 90.00 90.00 120.00°
Space group R-3m (No. 166, hexagonal axes)
Asymmetric unit:
1 Pr 0.0000 0.0000 0.1666 [6 per cell]
2 Sm 0.0000 0.0000 0.4029 [6 per cell]
3 Mg 0.0000 0.2994 0.5000 [18 per cell]
4 Mg 0.0000 0.5000 0.0000 [9 per cell]
5 Mg 0.0092 0.5046 0.6488 [18 per cell]

Summary:
Electronic total energy, eV/atom: -2.27
DOS at the Fermi energy, states/eV/cell: 49.9
Total moment, μB/cell: 0.00

---

[3]
Entry from Alexandria via LeMat-Bulk: NaYGa after structural relaxation (PBE).

Cell: 6.356 7.941 12.690 Å, 90.00 90.00 90.00°
Space group Fmmm (No. 69)
Asymmetric unit:
1 Na 0.000 0.169 0.000 [8 per cell]
2 Y 0.250 0.250 0.250 [8 per cell]
3 Ga 0.000 0.000 0.391 [8 per cell]

Summary:
Electronic total energy, eV/atom: -3.64
DOS at the Fermi energy, states/eV/cell: 22.9
Total moment, μB/cell: 0.00

---

[4]
Entry from Alexandria via LeMat-Bulk: La2HoP2N6 after structural relaxation (PBE).

Cell: 5.6189 5.6189 17.7273 Å, 90.00 90.00 120.00°
Space group R-3m (No. 166, hexagonal axes)
Asymmetric unit:
1 La 0.0000 0.0000 0.2095 [6 per cell]
2 Ho 0.0000 0.0000 0.0000 [3 per cell]
3 P 0.0000 0.0000 0.4122 [6 per cell]
4 N 0.0087 0.5044 0.2416 [18 per cell]

Summary:
ΔE_f (raw), eV per formula unit: -11.44
Electronic total energy, eV/atom: -7.88
DOS at the Fermi energy, states/eV/cell: 6.4
Total moment, μB/cell: 3.05

---

[5]
Entry from Alexandria via LeMat-Bulk: Na2ZnF after structural relaxation (PBE).

Cell: 6.882 6.882 8.029 Å, 90.00 90.00 90.00°
Space group I-42d (No. 122)
Asymmetric unit:
1 Na 0.134 0.250 0.125 [8 per cell]
2 Zn 0.000 0.000 0.500 [4 per cell]
3 F 0.000 0.000 0.000 [4 per cell]

Summary:
Energy relative to the lowest polymorph listed for this composition, meV per atom: 0
ΔE_f (raw), eV per formula unit: -4.43
Electronic total energy, eV/atom: -2.55
DOS at the Fermi energy, states/eV/cell: 7.0
Total moment, μB/cell: 0.00

---

[6]
Entry from Alexandria via LeMat-Bulk: PaCoNiGe after structural relaxation (PBE).

Cell: 6.335 6.335 6.335 Å, 90.00 90.00 90.00°
Space group F-43m (No. 216)
Asymmetric unit:
1 Pa 0.000 0.000 0.000 [4 per cell]
2 Co 0.250 0.250 0.750 [4 per cell]
3 Ni 0.250 0.250 0.250 [4 per cell]
4 Ge 0.000 0.000 0.500 [4 per cell]

Summary:
Energy relative to the lowest polymorph listed for this composition, meV per atom: 55
Electronic total energy, eV/atom: -7.06
DOS at the Fermi energy, states/eV/cell: 24.8
Total moment, μB/cell: 1.76

---

[7]
Entry from Alexandria via LeMat-Bulk: PrY3Ho8 after structural relaxation (PBE).

Cell: 6.400 11.333 11.337 Å, 90.00 90.00 90.00°
Space group Immm (No. 71)
Asymmetric unit:
1 Pr 0.000 0.000 0.000 [2 per cell]
2 Y 0.000 0.000 0.500 [2 per cell]
3 Y 0.000 0.500 0.244 [4 per cell]
4 Ho 0.000 0.170 0.251 [8 per cell]
5 Ho 0.247 0.256 0.000 [8 per cell]

Summary:
Electronic total energy, eV/atom: -4.75
DOS at the Fermi energy, states/eV/cell: 30.8
Total moment, μB/cell: 0.00

---

[8]
Entry from Alexandria via LeMat-Bulk: Co2ReS2 after structural relaxation (PBE).

Cell: 6.519 6.519 2.912 Å, 90.00 90.00 90.00°
Space group P4/mbm (No. 127)
Asymmetric unit:
1 Co 0.128 0.372 0.000 [4 per cell]
2 Re 0.000 0.000 0.000 [2 per cell]
3 S 0.185 0.685 0.500 [4 per cell]

Summary:
Energy relative to the lowest polymorph listed for this composition, meV per atom: 0
ΔE_f (raw), eV per formula unit: 2.45
Electronic total energy, eV/atom: -6.49
DOS at the Fermi energy, states/eV/cell: 13.3
Total moment, μB/cell: 1.30

---

[9]
Entry from Alexandria via LeMat-Bulk: Sc2TeOs after structural relaxation (PBE).

Cell: 3.318 4.464 11.126 Å, 90.00 90.00 90.00°
Space group Imm2 (No. 44)
Asymmetric unit:
1 Sc 0.000 0.000 0.000 [2 per cell]
2 Sc 0.000 0.500 0.211 [2 per cell]
3 Te 0.000 0.500 0.801 [2 per cell]
4 Os 0.000 0.000 0.506 [2 per cell]

Summary:
ΔE_f (raw), eV per formula unit: -1.73
Electronic total energy, eV/atom: -7.19
DOS at the Fermi energy, states/eV/cell: 3.3
Total moment, μB/cell: 0.00

---

[10]
Entry from Alexandria via LeMat-Bulk: LiInNiRu after structural relaxation (PBE).

Cell: 6.088 6.088 6.088 Å, 90.00 90.00 90.00°
Space group F-43m (No. 216)
Asymmetric unit:
1 Li 0.000 0.000 0.000 [4 per cell]
2 In 0.250 0.250 0.750 [4 per cell]
3 Ni 0.000 0.000 0.500 [4 per cell]
4 Ru 0.250 0.250 0.250 [4 per cell]

Summary:
Electronic total energy, eV/atom: -4.87
DOS at the Fermi energy, states/eV/cell: 25.4
Total moment, μB/cell: 4.62

---

[11]
Entry from Alexandria via LeMat-Bulk: Pm3TlCl after structural relaxation (PBE).

Cell: 5.305 5.305 5.305 Å, 90.00 90.00 90.00°
Space group Pm-3m (No. 221)
Asymmetric unit:
1 Pm 0.000 0.000 0.500 [3 per cell]
2 Tl 0.500 0.500 0.500 [1 per cell]
3 Cl 0.000 0.000 0.000 [1 per cell]

Summary:
ΔE_f (raw), eV per formula unit: -2.79
Electronic total energy, eV/atom: -4.25
DOS at the Fermi energy, states/eV/cell: 3.0
Total moment, μB/cell: 0.00

---

[12]
Entry from Alexandria via LeMat-Bulk: CoPtPb2 after structural relaxation (PBE).

Cell: 3.306 3.306 8.027 Å, 90.00 90.00 90.00°
Space group P4mm (No. 99)
Asymmetric unit:
1 Co 0.000 0.000 0.000 [1 per cell]
2 Pt 0.500 0.500 0.854 [1 per cell]
3 Pb 0.000 0.000 0.621 [1 per cell]
4 Pb 0.500 0.500 0.224 [1 per cell]

Summary:
Electronic total energy, eV/atom: -5.01
DOS at the Fermi energy, states/eV/cell: 4.3
Total moment, μB/cell: 1.56

---

[13]
Entry from Alexandria via LeMat-Bulk: NaZnBi3 after structural relaxation (PBE).

Cell: 5.513 5.513 5.513 Å, 90.00 90.00 90.00°
Space group Pm-3m (No. 221)
Asymmetric unit:
1 Na 0.000 0.000 0.000 [1 per cell]
2 Zn 0.500 0.500 0.500 [1 per cell]
3 Bi 0.000 0.500 0.500 [3 per cell]

Summary:
Energy relative to the lowest polymorph listed for this composition, meV per atom: 266
Electronic total energy, eV/atom: -2.63
DOS at the Fermi energy, states/eV/cell: 3.3
Total moment, μB/cell: 0.00

---

[14]
Entry from Alexandria via LeMat-Bulk: V2GeSBr after structural relaxation (PBE).

Cell: 4.743 4.743 5.190 Å, 90.00 90.00 90.00°
Space group P4/mmm (No. 123)
Asymmetric unit:
1 V 0.000 0.500 0.000 [2 per cell]
2 Ge 0.000 0.000 0.500 [1 per cell]
3 S 0.500 0.500 0.500 [1 per cell]
4 Br 0.000 0.000 0.000 [1 per cell]

Summary:
ΔE_f (raw), eV per formula unit: 6.08
Electronic total energy, eV/atom: -4.52
DOS at the Fermi energy, states/eV/cell: 7.8
Total moment, μB/cell: 6.10

---

[15]
Entry from Alexandria via LeMat-Bulk: Dy6ErTm2Th after structural relaxation (PBE).

Cell: 9.279 14.929 9.183 Å, 90.00 94.06 90.00°
Space group C2/c (No. 15)
Asymmetric unit:
1 Dy 0.054 0.175 0.440 [8 per cell]
2 Dy 0.097 0.383 0.609 [8 per cell]
3 Dy 0.214 0.221 0.812 [8 per cell]
4 Er 0.000 0.415 0.250 [4 per cell]
5 Tm 0.244 0.447 0.944 [8 per cell]
6 Th 0.000 0.035 0.750 [4 per cell]

Summary:
Electronic total energy, eV/atom: -4.70
DOS at the Fermi energy, states/eV/cell: 58.4
Total moment, μB/cell: 0.00

---

[16]
Entry from Alexandria via LeMat-Bulk: Nb2TcMo8 after structural relaxation (PBE).

Cell: 16.241 3.180 7.132 Å, 90.00 105.55 90.00°
Space group C2/m (No. 12)
Asymmetric unit:
1 Nb 0.135 0.000 0.180 [4 per cell]
2 Tc 0.000 0.500 0.000 [2 per cell]
3 Mo 0.046 0.000 0.725 [4 per cell]
4 Mo 0.090 0.500 0.456 [4 per cell]
5 Mo 0.182 0.500 0.905 [4 per cell]
6 Mo 0.225 0.000 0.635 [4 per cell]

Summary:
Electronic total energy, eV/atom: -10.73
DOS at the Fermi energy, states/eV/cell: 13.1
Total moment, μB/cell: 0.00

---

[17]
Entry from Alexandria via LeMat-Bulk: CaBi2Ir2 after structural relaxation (PBE).

Cell: 7.746 7.746 3.764 Å, 90.00 90.00 90.00°
Space group P4/mbm (No. 127)
Asymmetric unit:
1 Ca 0.000 0.000 0.000 [2 per cell]
2 Bi 0.165 0.335 0.500 [4 per cell]
3 Ir 0.128 0.628 0.000 [4 per cell]

Summary:
Energy relative to the lowest polymorph listed for this composition, meV per atom: 64
Electronic total energy, eV/atom: -5.46
DOS at the Fermi energy, states/eV/cell: 4.6
Total moment, μB/cell: 0.00

---

[18]
Entry from Alexandria via LeMat-Bulk: LiOsRuW after structural relaxation (PBE).

Cell: 6.068 6.068 6.068 Å, 90.00 90.00 90.00°
Space group F-43m (No. 216)
Asymmetric unit:
1 Li 0.000 0.000 0.000 [4 per cell]
2 Os 0.250 0.250 0.750 [4 per cell]
3 Ru 0.250 0.250 0.250 [4 per cell]
4 W 0.000 0.000 0.500 [4 per cell]

Summary:
Electronic total energy, eV/atom: -8.86
DOS at the Fermi energy, states/eV/cell: 10.3
Total moment, μB/cell: 0.00

---

[19]
Entry from Alexandria via LeMat-Bulk: Rb3PmTe2O8 after structural relaxation (PBE).

Cell: 6.5194 6.5194 8.3363 Å, 90.00 90.00 120.00°
Space group P-3m1 (No. 164)
Asymmetric unit:
1 Rb 0.0000 0.0000 0.0000 [1 per cell]
2 Rb 0.3333 0.6667 0.7496 [2 per cell]
3 Pm 0.0000 0.0000 0.5000 [1 per cell]
4 Te 0.3333 0.6667 0.2851 [2 per cell]
5 O 0.1618 0.3236 0.3226 [6 per cell]
6 O 0.3333 0.6667 0.0642 [2 per cell]

Summary:
ΔE_f (raw), eV per formula unit: -22.59
Electronic total energy, eV/atom: -5.44
DOS at the Fermi energy, states/eV/cell: 3.9
Total moment, μB/cell: 1.57

---

[20]
Entry from Alexandria via LeMat-Bulk: ZrHg2Pb after structural relaxation (PBE).

Cell: 6.127 9.188 3.398 Å, 90.00 90.21 90.00°
Space group C2/m (No. 12)
Asymmetric unit:
1 Zr 0.000 0.000 0.000 [2 per cell]
2 Hg 0.250 0.250 0.500 [4 per cell]
3 Pb 0.000 0.500 0.000 [2 per cell]

Summary:
Electronic total energy, eV/atom: -3.23
DOS at the Fermi energy, states/eV/cell: 5.1
Total moment, μB/cell: 0.00

---

[21]
Entry from Alexandria via LeMat-Bulk: Ac2TmTe2O2 after structural relaxation (PBE).

Cell: 4.476 4.476 17.225 Å, 90.00 90.00 90.00°
Space group I4/mmm (No. 139)
Asymmetric unit:
1 Ac 0.000 0.000 0.113 [4 per cell]
2 Tm 0.000 0.000 0.500 [2 per cell]
3 Te 0.000 0.000 0.321 [4 per cell]
4 O 0.000 0.500 0.000 [4 per cell]

Summary:
ΔE_f (raw), eV per formula unit: -16.16
Electronic total energy, eV/atom: -6.44
DOS at the Fermi energy, states/eV/cell: 6.5
Total moment, μB/cell: 0.00

---

[22]
Entry from Alexandria via LeMat-Bulk: PrY8Tm3 after structural relaxation (PBE).

Cell: 6.945 11.761 9.933 Å, 90.00 106.21 90.00°
Space group C2/m (No. 12)
Asymmetric unit:
1 Pr 0.000 0.000 0.000 [2 per cell]
2 Y 0.078 0.261 0.831 [8 per cell]
3 Y 0.176 0.500 0.655 [4 per cell]
4 Y 0.179 0.000 0.673 [4 per cell]
5 Tm 0.000 0.500 0.000 [2 per cell]
6 Tm 0.250 0.250 0.500 [4 per cell]

Summary:
Electronic total energy, eV/atom: -5.71
DOS at the Fermi energy, states/eV/cell: 51.8
Total moment, μB/cell: 0.00

---

[23]
Entry from Alexandria via LeMat-Bulk: InFe2Hg after structural relaxation (PBE).

Cell: 6.467 6.467 6.467 Å, 90.00 90.00 90.00°
Space group F-43m (No. 216)
Asymmetric unit:
1 In 0.000 0.000 0.000 [4 per cell]
2 Fe 0.000 0.000 0.500 [4 per cell]
3 Fe 0.250 0.250 0.250 [4 per cell]
4 Hg 0.250 0.250 0.750 [4 per cell]

Summary:
Energy relative to the lowest polymorph listed for this composition, meV per atom: 216
Electronic total energy, eV/atom: -4.52
DOS at the Fermi energy, states/eV/cell: 8.4
Total moment, μB/cell: 21.13

---

[24]
Entry from Alexandria via LeMat-Bulk: Na2CaP2 after structural relaxation (PBE).

Cell: 7.184 7.184 4.621 Å, 90.00 90.00 90.00°
Space group P4/mbm (No. 127)
Asymmetric unit:
1 Na 0.161 0.339 0.000 [4 per cell]
2 Ca 0.000 0.000 0.500 [2 per cell]
3 P 0.112 0.612 0.500 [4 per cell]

Summary:
Electronic total energy, eV/atom: -3.57
DOS at the Fermi energy, states/eV/cell: 1.4
Total moment, μB/cell: 0.00